Entry 1:
MoPCO2 after structural relaxation. Source: Alexandria, functional PBE+U.

Cell: 3.7332 3.7332 3.8125 Å, 90.00 90.00 90.00°
Closest atoms and distances in Å follow each position.
Space group P4/mmm (No. 123)
One atom of each set of equivalent atoms:
1 Mo 0.0000 0.0000 0.0000 x1  4 P 2.64, 8 O 2.67
2 P 0.5000 0.5000 0.0000 x1  2 C 1.91
3 C 0.5000 0.5000 0.5000 x1  4 O 1.87, 2 P 1.91
4 O 0.0000 0.5000 0.5000 x2  2 C 1.87

Values from the calculation:
* DFT total energy: -27.10 eV/f.u.

=====

Entry 2:
MoP2CO after structural relaxation. Source: Alexandria, functional PBE+U.

Cell: 3.8455 3.8455 4.1208 Å, 90.00 90.00 90.00°
Closest atoms and distances in Å follow each position.
Space group P4/mmm (No. 123)
One atom of each set of equivalent atoms:
1 Mo 0.0000 0.0000 0.0000 x1  4 O 2.72, 8 P 2.82
2 P 0.0000 0.5000 0.5000 x2  2 C 1.92
3 C 0.5000 0.5000 0.5000 x1  4 P 1.92, 2 O 2.06
4 O 0.5000 0.5000 0.0000 x1  2 C 2.06

Values from the calculation:
* DFT total energy: -26.98 eV/f.u.

=====

Entry 3:
MoP2CO after structural relaxation. Source: Alexandria, functional PBE+U.

Cell: 4.8054 4.8054 3.7613 Å, 90.00 90.00 90.00°
Closest atoms and distances in Å follow each position.
Space group P4/mmm (No. 123)
One atom of each set of equivalent atoms:
1 Mo 0.0000 0.0000 0.0000 x1  2 O 1.88
2 P 0.0000 0.5000 0.0000 x2  2 Mo 2.40
3 C 0.5000 0.5000 0.5000 x1  8 P 3.05, 4 O 3.40
4 O 0.0000 0.0000 0.5000 x1  2 Mo 1.88

Values from the calculation:
* DFT total energy: -25.20 eV/f.u.

=====

Q: The lowest DFT total energy belongs to which entry?
A: MoPCO2

=====

Q: Which value of DFT total energy does entry 2 give?
A: -26.98 eV/f.u.

=====

Q: What is the formula in the second record?
A: MoP2CO

=====

Q: Look up the DFT total energy of the second one.
A: -26.98 eV/f.u.